No. 1
DFT (PBE) results for LuTaFeRu after structural relaxation.

Summary:
Calculated total energy   -8.7852 eV per atom
M_tot   0.0 μB/f.u.

Unit cell a=4.5151 b=4.5151 c=4.5151 alpha=60.00 beta=60.00 gamma=60.00
Positions (direct):
Lu 0.0000 0.0000 0.0000
Ta 0.5000 0.5000 0.5000
Fe 0.2500 0.2500 0.2500
Ru 0.7500 0.7500 0.7500

---

No. 2
DFT (PBE) results for LuTiFeRu after structural relaxation.

Summary:
Calculated total energy   -7.8410 eV per atom
M_tot   0.3 μB/f.u.

Unit cell a=4.4642 b=4.4642 c=4.4642 alpha=60.00 beta=60.00 gamma=60.00
Positions (direct):
Lu 0.0000 0.0000 0.0000
Ti 0.5000 0.5000 0.5000
Fe 0.2500 0.2500 0.2500
Ru 0.7500 0.7500 0.7500

---

No. 3
DFT (PBE) results for TmLuFeRu after structural relaxation.

Summary:
Calculated total energy   -6.8449 eV per atom
M_tot   1.3 μB/f.u.

Unit cell a=4.7097 b=4.7097 c=4.7097 alpha=60.00 beta=60.00 gamma=60.00
Positions (direct):
Tm 0.0000 0.0000 0.0000
Lu 0.5000 0.5000 0.5000
Fe 0.7500 0.7500 0.7500
Ru 0.2500 0.2500 0.2500

---

No. 4
DFT (PBE) results for LuVFeRu after structural relaxation.

Summary:
Calculated total energy   -7.9536 eV per atom
M_tot   0.0 μB/f.u.

Unit cell a=4.3959 b=4.3959 c=4.3959 alpha=60.00 beta=60.00 gamma=60.00
Positions (direct):
Lu 0.0000 0.0000 0.0000
V 0.5000 0.5000 0.5000
Fe 0.7500 0.7500 0.7500
Ru 0.2500 0.2500 0.2500